Record 1
Below is a relaxed Na2Zn3Cd crystal, with properties calculated at the PBE level.

Geometry as POSCAR:
```
Na2Zn3Cd
1.0
1.7055 2.5399 -4.5484
-2.6011 -4.8036 -0.4562
-4.3541 2.2576 2.8524
Na Zn Cd
2 3 1
Direct
0.7541 0.3776 0.1316 Na
0.2459 0.6224 0.8684 Na
0.5000 0.5000 0.5000 Zn
0.0000 0.0000 0.5000 Zn
0.5000 0.0000 0.5000 Zn
0.0000 0.0000 0.0000 Cd
```

- Formation energy: -28 kJ/mol of formula units



Record 2
Below is a relaxed LiVC3 crystal, with properties calculated at the PBE level.

Geometry as POSCAR:
```
LiVC3
1.0
3.5255 0.0000 0.0000
0.0000 3.5255 0.0000
0.0000 0.0000 3.5255
C V Li
3 1 1
Direct
0.0000 0.5000 0.0000 C
0.0000 0.0000 0.5000 C
0.5000 0.0000 0.0000 C
0.5000 0.5000 0.5000 V
0.0000 0.0000 0.0000 Li
```

- Formation energy: 1174 kJ/mol of formula units
- Energy above the lowest structure with this stoichiometry: 1.037 eV per atom



Record 3
Below is a relaxed LiAg6Pd8 crystal, with properties calculated at the PBE level.

Geometry as POSCAR:
```
LiAg6Pd8
1.0
6.2385 0.2300 3.2147
2.0592 5.8934 3.2147
0.3117 0.2300 7.0112
Li Ag Pd
1 6 8
Direct
0.0000 0.0000 0.0000 Li
0.9355 0.4528 0.7326 Ag
0.2674 0.0645 0.5472 Ag
0.5472 0.2674 0.0645 Ag
0.4528 0.7326 0.9355 Ag
0.7326 0.9355 0.4528 Ag
0.0645 0.5472 0.2674 Ag
0.1159 0.6678 0.8121 Pd
0.1879 0.8841 0.3322 Pd
0.3322 0.1879 0.8841 Pd
0.5776 0.5776 0.5776 Pd
0.4224 0.4224 0.4224 Pd
0.6678 0.8121 0.1159 Pd
0.8121 0.1159 0.6678 Pd
0.8841 0.3322 0.1879 Pd
```

- Formation energy: -48 kJ/mol of formula units



Record 4
Below is a relaxed Ti3Tc crystal, with properties calculated at the PBE level.

Geometry as POSCAR:
```
Ti3Tc
1.0
4.4903 0.0000 0.0000
2.2451 3.8887 0.0000
2.2451 1.2962 3.6663
Tc Ti
1 3
Direct
0.5000 0.5000 0.5000 Tc
0.0000 0.0000 0.0000 Ti
0.7500 0.7500 0.7500 Ti
0.2500 0.2500 0.2500 Ti
```

- Formation energy: -77 kJ/mol of formula units



Record 5
Below is a relaxed Ce8Si2Sn crystal, with properties calculated at the PBE level.

Geometry as POSCAR:
```
Ce8Si2Sn
1.0
5.5712 -0.0987 -0.1481
-1.0633 7.7603 -0.3272
-1.0633 -3.2908 7.0356
Ce Si Sn
8 2 1
Direct
0.9271 0.9310 0.7128 Ce
0.9271 0.7128 0.9310 Ce
0.3258 0.5887 0.5887 Ce
0.5000 0.7551 0.2449 Ce
0.5000 0.2449 0.7551 Ce
0.6742 0.4113 0.4113 Ce
0.0729 0.2872 0.0690 Ce
0.0729 0.0690 0.2872 Ce
0.0000 0.3118 0.6882 Si
0.0000 0.6882 0.3118 Si
0.5000 0.0000 0.0000 Sn
```

- Raw formation energy: -319 meV per atom



Record 6
Below is a relaxed PuTlS3 crystal, with properties calculated at the PBE level.

Geometry as POSCAR:
```
PuTlS3
1.0
4.9211 0.0000 -1.9041
-0.8337 7.0870 -2.1548
0.3963 -0.0080 8.3356
Pu Tl S
2 2 6
Direct
0.0000 0.5000 0.0000 Pu
0.0000 0.0000 0.0000 Pu
0.2717 0.7502 0.5434 Tl
0.7283 0.2498 0.4566 Tl
0.8709 0.6632 0.7417 S
0.6290 0.1897 0.8176 S
0.1291 0.3368 0.2583 S
0.1886 0.1897 0.8176 S
0.3710 0.8103 0.1824 S
0.8114 0.8103 0.1824 S
```

- Raw formation energy: -796 meV per atom
- Energy above the lowest structure with this stoichiometry: 0.069 eV per atom



Record 7
Below is a relaxed BeMoCl2 crystal, with properties calculated at the PBE level.

Geometry as POSCAR:
```
BeMoCl2
1.0
4.6862 0.0000 0.0000
2.3431 4.0584 0.0000
2.3431 1.3528 3.8263
Be Mo Cl
1 1 2
Direct
0.5000 0.5000 0.5000 Be
0.7500 0.7500 0.7500 Mo
0.0000 0.0000 0.0000 Cl
0.2500 0.2500 0.2500 Cl
```

- Raw formation energy: 977 meV per atom
- Energy above the lowest structure with this stoichiometry: 1.282 eV per atom



Record 8
Below is a relaxed NbP2NCl crystal, with properties calculated at the PBE level.

Geometry as POSCAR:
```
NbP2NCl
1.0
3.9878 0.0000 0.0000
0.0000 3.9878 0.0000
0.0000 0.0000 4.3300
P Nb N Cl
2 1 1 1
Direct
0.0000 0.5000 0.0000 P
0.5000 0.0000 0.0000 P
0.5000 0.5000 0.5000 Nb
0.0000 0.0000 0.0000 N
0.0000 0.0000 0.5000 Cl
```

- Raw formation energy: 790 meV per atom
- Energy above the lowest structure with this stoichiometry: 0.000 eV per atom



Record 9
Below is a relaxed Cd2CoBr crystal, with properties calculated at the PBE level.

Geometry as POSCAR:
```
Cd2CoBr
1.0
-2.1842 0.6400 -2.2673
2.7072 -2.0371 -3.1830
-2.5988 -5.1113 1.0608
Br Cd Co
1 2 1
Direct
0.0000 0.5000 0.5000 Br
0.0000 0.0000 0.0000 Cd
0.5000 0.5000 0.0000 Cd
0.5000 0.0000 0.5000 Co
```

- Raw formation energy: 452 meV per atom
- Energy above the lowest structure with this stoichiometry: 0.341 eV per atom



Record 10
Below is a relaxed ReSb2Rh crystal, with properties calculated at the PBE level.

Geometry as POSCAR:
```
ReSb2Rh
1.0
-1.6671 2.2133 5.1181
1.6671 -2.2133 5.1181
1.6671 2.2133 -5.1181
Re Sb Rh
1 2 1
Direct
0.4798 0.4798 0.0000 Re
0.9893 0.9893 0.0000 Sb
0.2621 0.7621 0.5000 Sb
0.7688 0.2688 0.5000 Rh
```

- Raw formation energy: 382 meV per atom
- Energy above the lowest structure with this stoichiometry: 0.232 eV per atom



Record 11
Below is a relaxed ErGa4Ni2 crystal, with properties calculated at the PBE level.

Geometry as POSCAR:
```
ErGa4Ni2
1.0
4.1404 0.0000 0.0000
0.0000 6.3842 0.0000
0.0000 0.0000 16.7558
Er Ga Ni
4 16 8
Direct
0.7500 0.9847 0.6402 Er
0.2500 0.0153 0.3598 Er
0.2500 0.4847 0.8598 Er
0.7500 0.5153 0.1403 Er
0.2500 0.2724 0.6943 Ga
0.7500 0.7276 0.3057 Ga
0.7500 0.7724 0.8057 Ga
0.2500 0.2276 0.1943 Ga
0.2500 0.6781 0.6850 Ga
0.7500 0.3219 0.3150 Ga
0.7500 0.1781 0.8150 Ga
0.2500 0.8219 0.1850 Ga
0.2500 0.1579 0.5338 Ga
0.7500 0.8421 0.4662 Ga
0.7500 0.6579 0.9662 Ga
0.2500 0.3421 0.0338 Ga
0.2500 0.4971 0.4288 Ga
0.7500 0.5029 0.5712 Ga
0.7500 0.9971 0.0712 Ga
0.2500 0.0029 0.9288 Ga
0.2500 0.7556 0.5384 Ni
0.7500 0.2444 0.4616 Ni
0.7500 0.2556 0.9616 Ni
0.2500 0.7444 0.0384 Ni
0.2500 0.9714 0.7840 Ni
0.7500 0.0286 0.2160 Ni
0.7500 0.4714 0.7160 Ni
0.2500 0.5286 0.2840 Ni
```

- Formation energy: -358 kJ/mol of formula units
- Energy above the lowest structure with this stoichiometry: 0.000 eV per atom



Record 12
Below is a relaxed Mn2GaCoH crystal, with properties calculated at the PBE level.

Geometry as POSCAR:
```
Mn2GaCoH
1.0
-2.6584 -2.2248 1.0135
2.1579 -2.8391 -0.5721
1.2595 0.2022 3.7475
H Mn Co Ga
1 2 1 1
Direct
0.0000 0.0000 0.0000 H
0.0000 0.5000 0.0000 Mn
0.5000 0.0000 0.0000 Mn
0.5000 0.5000 0.5000 Co
0.0000 0.0000 0.5000 Ga
```

- Energy above the lowest structure with this stoichiometry: 0.193 eV per atom



no.,theoretical density (g/cm³)
1,4.7
2,3.6
3,10.2
4,6.3
5,7.3
6,6.1
7,4.0
8,4.9
9,6.9
10,11.7
11,8.5
12,7.7